[1]
# HgAu2Cl

HgAu2Cl after structural relaxation (PBEsol, the Alexandria database).

a b c (Å): 3.1849 4.5624 6.0296
angles (deg): 111.90 104.86 91.17
Fractional coordinates of all 4 atoms:
Au  0.0000  0.0000  0.5000
Au  0.5000  0.5000  0.5000
Hg  0.0000  0.0000  0.0000
Cl  0.5000  0.5000  0.0000

Output
Space-group type: C2/m (12)
DOS(E_F): 1.62 states/eV per cell
Formation energy (no corrections): 0.16 eV/atom



[2]
# CaLaTc2

CaLaTc2 after structural relaxation (PBEsol, the Alexandria database).

a b c (Å): 3.3384 5.0412 5.4519
angles (deg): 117.54 107.83 90.00
Fractional coordinates of all 4 atoms:
Ca  0.5000  0.0000  0.0000
Tc  0.7322  0.7322  0.4643
Tc  0.2678  0.2678  0.5357
La  0.0000  0.5000  0.0000

Output
Space-group type: Immm (71)
DOS(E_F): 3.95 states/eV per cell
E_form: 0.670 eV/atom



[3]
# Li2Mn3WO8

Li2Mn3WO8 after structural relaxation (PBEsol, the Alexandria database).

a b c (Å): 5.8778 5.8778 9.6671
angles (deg): 90.00 90.00 120.00
Fractional coordinates of all 28 atoms:
Li  0.3333  0.6667  0.5935
Li  0.0000  0.0000  0.5130
Li  0.0000  0.0000  0.0130
Li  0.6667  0.3333  0.0935
Mn  0.1698  0.8302  0.2868
Mn  0.6604  0.8302  0.2868
Mn  0.1698  0.3396  0.2868
Mn  0.8302  0.6604  0.7868
Mn  0.3396  0.1698  0.7868
Mn  0.8302  0.1698  0.7868
W  0.3333  0.6667  0.0126
W  0.6667  0.3333  0.5126
O  0.1707  0.8293  0.9120
O  0.4813  0.9626  0.1481
O  0.3333  0.6667  0.3847
O  0.0000  0.0000  0.2014
O  0.0000  0.0000  0.7014
O  0.6586  0.8293  0.9120
O  0.0374  0.5187  0.1481
O  0.4813  0.5187  0.1481
O  0.8293  0.6586  0.4120
O  0.1707  0.3414  0.9120
O  0.5187  0.4813  0.6481
O  0.9626  0.4813  0.6481
O  0.6667  0.3333  0.8847
O  0.3414  0.1707  0.4120
O  0.5187  0.0374  0.6481
O  0.8293  0.1707  0.4120

Output
Space-group type: P6_3mc (186)
DOS(E_F): 7.64 states/eV per cell
Formation energy (no corrections): -1.83 eV/atom



[4]
# K3Bi2

K3Bi2 after structural relaxation (PBEsol, the Alexandria database).

a b c (Å): 6.7055 6.7055 9.2351
angles (deg): 100.02 100.02 92.67
Fractional coordinates of all 10 atoms:
K  0.3487  0.2410  0.5136
K  0.6513  0.7590  0.4864
K  0.7590  0.6513  0.9864
K  0.2410  0.3487  0.0136
K  0.1534  0.8466  0.7500
K  0.8466  0.1534  0.2500
Bi  0.6775  0.1113  0.8480
Bi  0.3225  0.8887  0.1520
Bi  0.8887  0.3225  0.6520
Bi  0.1113  0.6775  0.3480

Output
Space-group type: C2/c (15)
DOS(E_F): 7.58 states/eV per cell
E_form: -0.336 eV/atom



[5]
# PmEr3

PmEr3 after structural relaxation (PBEsol, the Alexandria database).

a b c (Å): 4.9048 4.9048 6.0000
angles (deg): 114.13 114.13 90.00
Fractional coordinates of all 4 atoms:
Er  0.2500  0.7500  0.5000
Er  0.7500  0.2500  0.5000
Er  0.5000  0.5000  0.0000
Pm  0.0000  0.0000  0.0000

Output
Space-group type: I4/mmm (139)
DOS(E_F): 5.15 states/eV per cell
E_form: 0.018 eV/atom



[6]
# AsPb3Cl

AsPb3Cl after structural relaxation (PBEsol, the Alexandria database).

a b c (Å): 5.4117 5.4117 5.4117
angles (deg): 90.00 90.00 90.00
Fractional coordinates of all 5 atoms:
Pb  0.0000  0.5000  0.0000
Pb  0.0000  0.0000  0.5000
Pb  0.5000  0.0000  0.0000
As  0.5000  0.5000  0.5000
Cl  0.0000  0.0000  0.0000

Output
Space-group type: Pm-3m (221)
DOS(E_F): 3.16 states/eV per cell
Formation energy (no corrections): 0.46 eV/atom



[7]
# ZrSc2Mn

ZrSc2Mn after structural relaxation (PBEsol, the Alexandria database).

a b c (Å): 3.2781 4.9260 5.5602
angles (deg): 116.29 107.14 90.00
Fractional coordinates of all 4 atoms:
Mn  0.2416  0.7416  0.4832
Sc  0.9556  0.9556  0.9111
Sc  0.7532  0.2532  0.5064
Zr  0.5496  0.5496  0.0992

Output
Space-group type: Imm2 (44)
DOS(E_F): 4.91 states/eV per cell
E_form: 0.040 eV/atom



[8]
# CdIn3Au

CdIn3Au after structural relaxation (PBEsol, the Alexandria database).

a b c (Å): 5.3173 5.3173 5.3173
angles (deg): 90.00 90.00 90.00
Fractional coordinates of all 5 atoms:
Cd  0.0000  0.0000  0.0000
Au  0.5000  0.5000  0.5000
In  0.0000  0.5000  0.0000
In  0.0000  0.0000  0.5000
In  0.5000  0.0000  0.0000

Output
Space-group type: Pm-3m (221)
DOS(E_F): 2.59 states/eV per cell
E_form: 0.559 eV/atom



[9]
# BeCl3

BeCl3 after structural relaxation (PBEsol, the Alexandria database).

a b c (Å): 4.6731 4.6585 4.6585
angles (deg): 70.59 70.47 109.53
Fractional coordinates of all 4 atoms:
Be  0.0000  0.0000  0.0000
Cl  0.0000  0.5000  0.5000
Cl  0.5000  0.5000  0.0000
Cl  0.5000  0.0000  0.5000

Output
Space-group type: R-3m (166)
DOS(E_F): 2.54 states/eV per cell
Formation energy (no corrections): 0.35 eV/atom



[10]
# Ba2EuBiO6

Ba2EuBiO6 after structural relaxation (PBEsol, the Alexandria database).

a b c (Å): 6.1381 6.1381 6.1381
angles (deg): 60.00 60.00 60.00
Fractional coordinates of all 10 atoms:
Eu  0.5000  0.5000  0.5000
Bi  0.0000  0.0000  0.0000
O  0.7570  0.2430  0.2430
O  0.2430  0.2430  0.7570
O  0.7570  0.7570  0.2430
O  0.2430  0.7570  0.2430
O  0.2430  0.7570  0.7570
O  0.7570  0.2430  0.7570
Ba  0.7500  0.7500  0.7500
Ba  0.2500  0.2500  0.2500

Output
Space-group type: Fm-3m (225)
DOS(E_F): 5.56 states/eV per cell
Formation energy (no corrections): -2.24 eV/atom



[11]
# InIrPb2

InIrPb2 after structural relaxation (PBEsol, the Alexandria database).

a b c (Å): 3.2572 5.1103 6.7962
angles (deg): 110.77 90.00 108.58
Fractional coordinates of all 4 atoms:
In  0.5581  0.1162  0.6265
Ir  0.2799  0.5598  0.6230
Pb  0.9234  0.8469  0.9781
Pb  0.7385  0.4771  0.2725

Output
Space-group type: Cm (8)
DOS(E_F): 1.84 states/eV per cell
E_form: 0.099 eV/atom



[12]
# MgTe2IN

MgTe2IN after structural relaxation (PBEsol, the Alexandria database).

a b c (Å): 3.8909 5.7205 5.7205
angles (deg): 90.00 90.00 90.00
Fractional coordinates of all 5 atoms:
I  0.5000  0.5000  0.5000
Mg  0.0000  0.0000  0.0000
Te  0.0000  0.0000  0.5000
Te  0.0000  0.5000  0.0000
N  0.5000  0.0000  0.0000

Output
Space-group type: P4/mmm (123)
DOS(E_F): 3.79 states/eV per cell
Formation energy (no corrections): 0.65 eV/atom



DOS(E_F) of number 4 (K3Bi2)? 7.58 states/eV per cell



DOS(E_F) of number 1 (HgAu2Cl)? 1.62 states/eV per cell